1.
A plane-wave DFT calculation with PBE was carried out for a relaxed structure of Li2Sc2USe6.

Output
crystal system	monoclinic
space-group type	C2/m
formation energy (no corrections)	-1448	meV/atom
total moment	2.00	μB/f.u.

a = 6.8279 Å, b = 6.8279 Å, c = 6.8530 Å
α = 99.56°, β = 99.56°, γ = 120.14°
Closest atoms and distances in Å follow each position.
Atoms (fractional coordinates):
Se1 0.7403 0.7403 0.7429  2 Sc 2.74, 1 U 2.80, 2 Li 2.84
Se2 0.9227 0.5779 0.2574  2 Sc 2.72-2.75, 2 Li 2.77-2.83, 1 U 2.82
Se3 0.2597 0.2597 0.2571  2 Sc 2.74, 1 U 2.80, 2 Li 2.84
Se4 0.5779 0.9227 0.2574  2 Sc 2.72-2.75, 2 Li 2.77-2.83, 1 U 2.82
Se5 0.4221 0.0773 0.7426  2 Sc 2.72-2.75, 2 Li 2.77-2.83, 1 U 2.82
Se6 0.0773 0.4221 0.7426  2 Sc 2.72-2.75, 2 Li 2.77-2.83, 1 U 2.82
Sc1 0.6663 0.3337 0.5000  6 Se 2.72-2.75
Sc2 0.3337 0.6663 0.5000  6 Se 2.72-2.75
U1 0.0000 0.0000 0.5000  6 Se 2.80-2.82
Li1 0.1666 0.8334 0.0000  6 Se 2.77-2.84
Li2 0.8334 0.1666 0.0000  6 Se 2.77-2.84

=====

2.
A plane-wave DFT calculation with PBE was carried out for a relaxed structure of LiScU2Se5.

Output
crystal system	orthorhombic
space-group type	Cmc2_1
formation energy (no corrections)	-1262	meV/atom
total moment	5.75	μB/f.u.

a = 3.9605 Å, b = 8.6853 Å, c = 12.0599 Å
α = 90.00°, β = 90.00°, γ = 103.18°
Closest atoms and distances in Å follow each position.
Atoms (fractional coordinates):
Se1 0.4958 0.9916 0.7790  1 Li 2.40
Se2 0.6891 0.3781 0.8526  1 Li 2.65, 2 Sc 2.75
Se3 0.0521 0.1041 0.0715  2 Li 2.39, 1 Sc 2.61
Se4 0.5042 0.0084 0.2790  1 Li 2.40
Se5 0.9479 0.8959 0.5715  2 Li 2.39, 1 Sc 2.61
Se6 0.3618 0.7235 0.9994  1 Sc 2.74, 2 U 3.01
Se7 0.7172 0.4343 0.1651  2 Sc 2.74, 3 U 2.97-2.99
Se8 0.2828 0.5657 0.6651  2 Sc 2.74, 3 U 2.97-2.99
Se9 0.3109 0.6219 0.3526  1 Li 2.65, 2 Sc 2.75
Se10 0.6382 0.2765 0.4994  1 Sc 2.74, 2 U 3.01
Li1 0.4469 0.8938 0.4611  4 Se 2.39-2.65
Li2 0.5531 0.1062 0.9611  4 Se 2.39-2.65
U1 0.1306 0.2613 0.3030  8 Se 2.93-3.11
U2 0.1063 0.2125 0.6825  8 Se 2.96-3.18
U3 0.8694 0.7387 0.8030  8 Se 2.93-3.11
U4 0.8937 0.7875 0.1825  8 Se 2.96-3.18
Sc1 0.2000 0.4001 0.0099  6 Se 2.61-2.75
Sc2 0.8000 0.5999 0.5099  6 Se 2.61-2.75

=====

3.
A plane-wave DFT calculation with PBE was carried out for a relaxed structure of LiScU2Se4.

Output
crystal system	monoclinic
space-group type	P2/m
formation energy (no corrections)	-1252	meV/atom
total moment	6.17	μB/f.u.

a = 3.8851 Å, b = 6.7445 Å, c = 7.1320 Å
α = 108.25°, β = 90.00°, γ = 90.00°
Closest atoms and distances in Å follow each position.
Atoms (fractional coordinates):
Se1 0.5000 0.7544 0.7725  1 Li 2.71, 2 Sc 2.73, 3 U 2.90-2.92
Se2 0.5000 0.2456 0.2275  1 Li 2.71, 2 Sc 2.73, 3 U 2.90-2.92
Se3 0.0000 0.2586 0.7727  2 Li 2.72, 1 Sc 2.73, 3 U 2.90-2.91
Se4 0.0000 0.7414 0.2273  2 Li 2.72, 1 Sc 2.73, 3 U 2.90-2.91
U1 0.0000 0.5000 0.5000  6 Se 2.90
U2 0.5000 0.0000 0.5000  6 Se 2.91-2.92
Li1 0.5000 0.5000 0.0000  6 Se 2.71-2.72
Sc1 0.0000 0.0000 0.0000  6 Se 2.73

=====

4.
A plane-wave DFT calculation with PBE was carried out for a relaxed structure of Li3Sc2USe6.

Output
crystal system	monoclinic
space-group type	C2/m
formation energy (no corrections)	-1438	meV/atom
total moment	3.00	μB/f.u.

a = 6.8210 Å, b = 6.8210 Å, c = 6.8511 Å
α = 99.55°, β = 99.55°, γ = 120.00°
Closest atoms and distances in Å follow each position.
Atoms (fractional coordinates):
Se1 0.0828 0.4282 0.2482  3 Li 2.73-2.83, 2 Sc 2.75, 1 U 2.85
Se2 0.7377 0.7377 0.2492  3 Li 2.73-2.82, 2 Sc 2.75, 1 U 2.85
Se3 0.2623 0.2623 0.7508  3 Li 2.73-2.82, 2 Sc 2.75, 1 U 2.85
Se4 0.5718 0.9172 0.7518  3 Li 2.73-2.83, 2 Sc 2.75, 1 U 2.85
Se5 0.4282 0.0828 0.2482  3 Li 2.73-2.83, 2 Sc 2.75, 1 U 2.85
Se6 0.9172 0.5718 0.7518  3 Li 2.73-2.83, 2 Sc 2.75, 1 U 2.85
Li1 0.5000 0.5000 0.5000  6 Se 2.73-2.83
Li2 0.8340 0.1660 0.5000  6 Se 2.73-2.83
Li3 0.1660 0.8340 0.5000  6 Se 2.73-2.83
Sc1 0.3333 0.6667 0.0000  6 Se 2.75
Sc2 0.6667 0.3333 0.0000  6 Se 2.75
U1 0.0000 0.0000 0.0000  6 Se 2.85

=====

5.
A plane-wave DFT calculation with PBE was carried out for a relaxed structure of LiSc3U3Se8.

Output
crystal system	trigonal
space-group type	R-3m
formation energy (no corrections)	-1348	meV/atom
total moment	8.10	μB/f.u.

a = 7.8290 Å, b = 7.8293 Å, c = 7.9706 Å
α = 119.42°, β = 90.00°, γ = 120.00°
Closest atoms and distances in Å follow each position.
Atoms (fractional coordinates):
Se1 0.7433 0.4867 0.7300  3 Sc 2.72, 3 U 2.87
Se2 0.7399 0.9890 0.7380  2 Sc 2.73, 1 Li 2.78, 2 U 2.86
Se3 0.2567 0.5133 0.2700  3 Sc 2.72, 3 U 2.87
Se4 0.7509 0.0110 0.2620  2 Sc 2.73, 1 Li 2.78, 2 U 2.86
Se5 0.2491 0.9890 0.7380  2 Sc 2.73, 1 Li 2.78, 2 U 2.86
Se6 0.7509 0.5019 0.2620  2 Sc 2.73, 1 Li 2.78, 2 U 2.86
Se7 0.2601 0.0110 0.2620  2 Sc 2.73, 1 Li 2.78, 2 U 2.86
Se8 0.2491 0.4981 0.7380  2 Sc 2.73, 1 Li 2.78, 2 U 2.86
Sc1 0.5000 0.0000 0.5000  6 Se 2.72-2.73
Sc2 0.5000 0.5000 0.5000  6 Se 2.72-2.73
Sc3 0.0000 0.5000 0.5000  6 Se 2.72-2.73
U1 0.0000 0.0000 0.0000  6 Se 2.86-2.87
U2 0.0000 0.5000 0.0000  6 Se 2.86-2.87
U3 0.5000 0.5000 0.0000  6 Se 2.86-2.87
Li1 0.0000 0.0000 0.5000  6 Se 2.78

=====

6.
A plane-wave DFT calculation with PBE was carried out for a relaxed structure of Li3Sc4USe8.

Output
crystal system	trigonal
space-group type	R-3m
formation energy (no corrections)	-1510	meV/atom
total moment	3.06	μB/f.u.

a = 7.7889 Å, b = 7.8718 Å, c = 7.7891 Å
α = 119.65°, β = 120.00°, γ = 90.00°
Closest atoms and distances in Å follow each position.
Atoms (fractional coordinates):
Se1 0.2475 0.2424 0.4949  3 Sc 2.74, 3 Li 2.80
Se2 0.2559 0.7562 0.5118  3 Sc 2.70-2.77, 2 Li 2.77, 1 U 2.83
Se3 0.7441 0.2438 0.9996  3 Sc 2.70-2.77, 2 Li 2.77, 1 U 2.83
Se4 0.2555 0.2438 0.9996  3 Sc 2.70-2.77, 2 Li 2.77, 1 U 2.83
Se5 0.2559 0.7562 0.0004  3 Sc 2.70-2.77, 2 Li 2.77, 1 U 2.83
Se6 0.7525 0.7576 0.5051  3 Sc 2.74, 3 Li 2.80
Se7 0.7445 0.7562 0.0004  3 Sc 2.70-2.77, 2 Li 2.77, 1 U 2.83
Se8 0.7441 0.2438 0.4882  3 Sc 2.70-2.77, 2 Li 2.77, 1 U 2.83
U1 0.0000 0.5000 0.0000  6 Se 2.83
Sc1 0.5000 0.0000 0.5000  6 Se 2.74-2.77
Sc2 0.0000 0.0000 0.5000  6 Se 2.74-2.77
Sc3 0.0000 0.0000 0.0000  6 Se 2.74-2.77
Sc4 0.5000 0.0000 0.0000  6 Se 2.70
Li1 0.5000 0.5000 0.5000  6 Se 2.77-2.80
Li2 0.5000 0.5000 0.0000  6 Se 2.77-2.80
Li3 0.0000 0.5000 0.5000  6 Se 2.77-2.80

=====

7.
A plane-wave DFT calculation with PBE was carried out for a relaxed structure of LiSc2USe4.

Output
crystal system	monoclinic
space-group type	P2/m
formation energy (no corrections)	-1426	meV/atom
total moment	3.04	μB/f.u.

a = 3.8942 Å, b = 6.8433 Å, c = 6.8632 Å
α = 108.78°, β = 90.00°, γ = 90.00°
Closest atoms and distances in Å follow each position.
Atoms (fractional coordinates):
Se1 0.5000 0.2641 0.2618  3 Sc 2.71-2.80, 1 Li 2.78, 2 U 2.86
Se2 0.0000 0.2541 0.7420  3 Sc 2.72-2.78, 2 Li 2.80, 1 U 2.85
Se3 0.5000 0.7359 0.7382  3 Sc 2.71-2.80, 1 Li 2.78, 2 U 2.86
Se4 0.0000 0.7459 0.2580  3 Sc 2.72-2.78, 2 Li 2.80, 1 U 2.85
U1 0.0000 0.0000 0.0000  6 Se 2.85-2.86
Sc1 0.0000 0.5000 0.5000  6 Se 2.71-2.72
Sc2 0.5000 0.0000 0.5000  6 Se 2.78-2.80
Li1 0.5000 0.5000 0.0000  6 Se 2.78-2.80

=====

8.
A plane-wave DFT calculation with PBE was carried out for a relaxed structure of Li3ScU3Se8.

Output
crystal system	trigonal
space-group type	R-3m
formation energy (no corrections)	-1283	meV/atom
total moment	8.00	μB/f.u.

a = 8.0264 Å, b = 8.0264 Å, c = 8.0208 Å
α = 120.03°, β = 90.00°, γ = 120.00°
Closest atoms and distances in Å follow each position.
Atoms (fractional coordinates):
Sc1 0.0000 0.0000 0.5000  6 Se 2.75
Se1 0.2389 0.9963 0.2537  1 Sc 2.75, 2 Li 2.82, 2 U 2.86
Se2 0.7573 0.5147 0.2537  1 Sc 2.75, 2 Li 2.82, 2 U 2.86
Se3 0.2459 0.4917 0.2377  3 Li 2.79, 3 U 2.88
Se4 0.2426 0.0037 0.7463  1 Sc 2.75, 2 Li 2.82, 2 U 2.86
Se5 0.7611 0.0037 0.7463  1 Sc 2.75, 2 Li 2.82, 2 U 2.86
Se6 0.7541 0.5083 0.7623  3 Li 2.79, 3 U 2.88
Se7 0.7574 0.9963 0.2537  1 Sc 2.75, 2 Li 2.82, 2 U 2.86
Se8 0.2427 0.4853 0.7463  1 Sc 2.75, 2 Li 2.82, 2 U 2.86
U1 0.0000 0.5000 0.5000  6 Se 2.86-2.88
U2 0.5000 0.0000 0.5000  6 Se 2.86-2.88
U3 0.5000 0.5000 0.5000  6 Se 2.86-2.88
Li1 0.0000 0.5000 0.0000  6 Se 2.79-2.82
Li2 0.5000 0.5000 0.0000  6 Se 2.79-2.82
Li3 0.0000 0.0000 0.0000  6 Se 2.79-2.82

=====

For the records above, the corresponding Fermi-level density of states values read 6.6; 13.2; 8.6; 9.9; 16.1; 8.1; 7.1; 13.9 states/eV/f.u..